(1)
# PmNdBeNi, relaxed, DFT PBE
data_PmNdBeNi
_cell_length_a 7.0154
_cell_length_b 7.0154
_cell_length_c 7.0154
_cell_angle_alpha 90.00
_cell_angle_beta 90.00
_cell_angle_gamma 90.00
_space_group_name_H-M_alt 'F -4 3 m'
_space_group_IT_number 216
_space_group_name_Hall 'F -4 2 3'
loop_
_atom_site_label
_atom_site_type_symbol
_atom_site_fract_x
_atom_site_fract_y
_atom_site_fract_z
Pm1 Pm 0.0000 0.0000 0.0000
Nd1 Nd 0.0000 0.0000 0.5000
Be1 Be 0.2500 0.2500 0.7500
Ni1 Ni 0.2500 0.2500 0.2500
# - V: 21.58 Å³ per atom
# - Energy of formation from the pure elements: -4 meV/atom

(2)
# Ag2CIF, relaxed, DFT PBE
data_Ag2CIF
_cell_length_a 5.4425
_cell_length_b 5.4425
_cell_length_c 4.2066
_cell_angle_alpha 90.00
_cell_angle_beta 90.00
_cell_angle_gamma 90.00
_space_group_name_H-M_alt 'P 4/m m m'
_space_group_IT_number 123
_space_group_name_Hall '-P 4 2'
loop_
_atom_site_label
_atom_site_type_symbol
_atom_site_fract_x
_atom_site_fract_y
_atom_site_fract_z
Ag1 Ag 0.0000 0.5000 0.0000
C1 C 0.0000 0.0000 0.5000
I1 I 0.0000 0.0000 0.0000
F1 F 0.5000 0.5000 0.5000
# - V: 24.92 Å³ per atom
# - ΔE_f (raw): 1.28 eV per atom